# PBE-GGA Be2ReW, optimized geometry
# Offset from the most stable computed form   347.3 meV/atom
# Theoretical density   12.61 g/cm³
# E   -32.33 eV per cell
# DOS(E_F)   0.863 states/eV per atom
data_Be2ReW
_cell_length_a 4.165
_cell_length_b 4.165
_cell_length_c 4.165
_cell_angle_alpha 60.00
_cell_angle_beta 60.00
_cell_angle_gamma 60.00
_symmetry_space_group_name_H-M 'P 1'
_symmetry_Int_Tables_number 1
_symmetry_space_group_name_Hall 'P 1'
loop_
_atom_site_label
_atom_site_type_symbol
_atom_site_fract_x
_atom_site_fract_y
_atom_site_fract_z
Be1 Be 0.250 0.250 0.250
Be2 Be 0.000 0.000 0.000
W1 W 0.750 0.750 0.750
Re1 Re 0.500 0.500 0.500